Model a:
The following is a GGA-PBE calculation of AcEuRh2 after structural relaxation, from the Alexandria database.

abc: 5.113 5.113 5.113
angles: 60.00 60.00 60.00
Fractional positions:
Ac  0.000  0.000  0.000
Eu  0.500  0.500  0.500
Rh  0.250  0.250  0.250
Rh  0.750  0.750  0.750

Results
The value obtained for the density of states at the Fermi level is 10.61 states/eV per cell. Its space group is No. 225.


Model b:
The following is a GGA-PBE calculation of AcEuRh2 after structural relaxation, from the Alexandria database.

abc: 5.039 5.039 3.725
angles: 90.00 90.00 90.00
Fractional positions:
Ac  0.000  0.000  0.000
Eu  0.500  0.500  0.000
Rh  0.000  0.500  0.500
Rh  0.500  0.000  0.500

Results
The value obtained for the density of states at the Fermi level is 10.56 states/eV per cell. Its space group is No. 123.


The most stable arrangement is model a, and the next structure is 1.0 kJ/mol of atoms less stable.


Model a:
The following is a GGA-PBE calculation of AcEuRu after structural relaxation, from the Alexandria database.

abc: 5.050 5.050 5.050
angles: 60.00 60.00 60.00
Fractional positions:
Ac  0.000  0.000  0.000
Eu  0.500  0.500  0.500
Ru  0.750  0.750  0.750

Results
The value obtained for the density of states at the Fermi level is 10.57 states/eV per cell. Its space group is No. 216.


Model b:
The following is a GGA-PBE calculation of AcEuRu after structural relaxation, from the Alexandria database.

abc: 7.378 7.378 7.378
angles: 151.44 151.44 40.83
Fractional positions:
Ac  0.000  0.000  0.000
Eu  0.750  0.750  0.000
Ru  0.379  0.379  0.000

Results
The value obtained for the density of states at the Fermi level is 10.00 states/eV per cell. Its space group is No. 107.


The most stable arrangement is model b, and the next structure is 0.5 kJ/mol of atoms less stable.


Model a:
The following is a GGA-PBE calculation of Ac2EuRu after structural relaxation, from the Alexandria database.

abc: 3.731 3.731 10.078
angles: 90.00 90.00 90.00
Fractional positions:
Ac  0.000  0.000  0.177
Ac  0.000  0.000  0.823
Eu  0.500  0.500  0.500
Ru  0.500  0.500  0.000

Results
The value obtained for the density of states at the Fermi level is 4.19 states/eV per cell. Its space group is No. 123.


Model b:
The following is a GGA-PBE calculation of Ac2EuRu after structural relaxation, from the Alexandria database.

abc: 10.383 10.383 10.383
angles: 23.55 23.55 23.55
Fractional positions:
Ac  0.220  0.220  0.220
Ac  0.780  0.780  0.780
Eu  0.000  0.000  0.000
Ru  0.500  0.500  0.500

Results
The value obtained for the density of states at the Fermi level is 2.80 states/eV per cell. Its space group is No. 166.


The most stable arrangement is model b, and the next structure is 9.1 kJ/mol of atoms less stable.